VASP calculation (PBE) on crystalline Ca4Se3S at its relaxed geometry.

Properties
Mass density ... 3.5 g cm⁻³
Formation energy without anion corrections ... -2.05 eV/atom
E_tot ... -4.88 eV/atom

Structure (POSCAR):
```
Ca4Se3S
1.0
7.226 0.065 0.000
-2.472 6.794 0.000
0.000 0.000 8.351
Se S Ca
6 2 8
direct
0.750 0.500 0.626
0.750 0.000 0.374
0.750 0.500 0.124
0.250 0.500 0.876
0.250 0.000 0.626
0.250 0.500 0.374
0.250 0.000 0.124
0.750 0.000 0.876
0.495 0.248 0.371
0.002 0.242 0.121
0.995 0.248 0.629
0.005 0.752 0.371
0.505 0.752 0.629
0.502 0.242 0.879
0.498 0.758 0.121
0.998 0.758 0.879
```

---

VASP calculation (PBE) on crystalline MnTl2Cl at its relaxed geometry.

Properties
Mass density ... 7.8 g cm⁻³
Formation energy without anion corrections ... 0.19 eV/atom
E_tot ... -3.75 eV/atom

Structure (POSCAR):
```
MnTl2Cl
1.0
-1.766 -5.006 -0.118
0.867 -3.218 4.133
-4.040 -1.464 3.118
Tl Cl Mn
2 1 1
direct
0.250 0.250 0.250
0.750 0.750 0.750
0.000 0.000 0.000
0.500 0.500 0.500
```

---

VASP calculation (PBE) on crystalline Pm5Tm2In2 at its relaxed geometry.

Properties
Mass density ... 7.4 g cm⁻³
Calculated formation energy ... -0.025 eV per atom
E_tot ... -4.27 eV/atom

Structure (POSCAR):
```
Pm5Tm2In2
1.0
10.328 0.000 0.000
0.000 6.764 0.000
-5.164 -3.382 8.311
Pm In Tm
10 4 4
direct
0.528 0.225 0.703
0.201 0.829 0.500
0.152 0.671 0.861
0.325 0.022 0.297
0.675 0.725 0.703
0.791 0.309 0.139
0.799 0.329 0.500
0.848 0.809 0.139
0.209 0.171 0.861
0.472 0.522 0.297
0.534 0.032 0.162
0.466 0.869 0.838
0.128 0.532 0.162
0.872 0.369 0.838
0.143 0.330 0.500
0.000 0.051 0.000
0.500 0.551 0.000
0.857 0.830 0.500
```